Arrangement one

NiB3I | PBE | relaxed

D(E_F): 3.6 states/eV/f.u.
symmetry: Pm-3m
density: 4.38 g/cm³

Lattice parameters (Å, degrees): 4.3573 4.3573 4.3573 90.00 90.00 90.00
Fractional positions:
Ni  0.0000  0.0000  0.0000
B  0.0000  0.5000  0.5000
B  0.5000  0.0000  0.5000
B  0.5000  0.5000  0.0000
I  0.5000  0.5000  0.5000

***

Arrangement two

NiB3I | PBE | relaxed

D(E_F): 0.5 states/eV/f.u.
symmetry: Pm-3m
density: 5.33 g/cm³

Lattice parameters (Å, degrees): 4.0797 4.0797 4.0797 90.00 90.00 90.00
Fractional positions:
Ni  0.0000  0.0000  0.0000
B  0.0000  0.0000  0.5000
B  0.0000  0.5000  0.0000
B  0.5000  0.0000  0.0000
I  0.5000  0.5000  0.5000

***

Relative calculated energies, zero for the most stable structure, unit kJ/mol of atoms: arrangement one 150.5; arrangement two 0.0.

***

Arrangement one

NiB2I | PBE | relaxed

D(E_F): 2.7 states/eV/f.u.
symmetry: Fm-3m
density: 6.66 g/cm³

Lattice parameters (Å, degrees): 4.1802 4.1802 4.1802 60.00 60.00 60.00
Fractional positions:
Ni  0.0000  0.0000  0.0000
B  0.2500  0.2500  0.2500
B  0.7500  0.7500  0.7500
I  0.5000  0.5000  0.5000

***

Arrangement two

NiB2I | PBE | relaxed

D(E_F): 1.2 states/eV/f.u.
symmetry: I4_1/amd
density: 6.26 g/cm³

Lattice parameters (Å, degrees): 7.6133 7.6133 7.6133 150.02 150.02 42.91
Fractional positions:
Ni  0.3750  0.6250  0.7500
Ni  0.6250  0.3750  0.2500
B  0.0000  0.5000  0.5000
B  0.5000  0.0000  0.0000
B  0.5000  0.5000  0.0000
B  0.5000  0.5000  0.5000
I  0.1250  0.8750  0.2500
I  0.8750  0.1250  0.7500

***

Relative calculated energies, zero for the most stable structure, unit kJ/mol of atoms: arrangement one 107.4; arrangement two 0.0.

***

Arrangement one

NiB2I2 | PBE | relaxed

D(E_F): 1.9 states/eV/f.u.
symmetry: P4/mbm
density: 5.15 g/cm³

Lattice parameters (Å, degrees): 5.8207 5.8207 6.3617 90.00 90.00 90.00
Fractional positions:
Ni  0.0000  0.0000  0.0000
Ni  0.5000  0.5000  0.0000
B  0.2471  0.2529  0.0000
B  0.2529  0.7529  0.0000
B  0.7471  0.2471  0.0000
B  0.7529  0.7471  0.0000
I  0.1883  0.3117  0.5000
I  0.3117  0.8117  0.5000
I  0.6883  0.1883  0.5000
I  0.8117  0.6883  0.5000

***

Arrangement two

NiB2I2 | PBE | relaxed

D(E_F): 3.3 states/eV/f.u.
symmetry: I4/mmm
density: 6.70 g/cm³

Lattice parameters (Å, degrees): 4.8111 4.8111 4.8111 116.04 116.04 97.01
Fractional positions:
Ni  0.0000  0.0000  0.0000
B  0.3630  0.3630  0.0000
B  0.6370  0.6370  0.0000
I  0.2500  0.7500  0.5000
I  0.7500  0.2500  0.5000

***

Relative calculated energies, zero for the most stable structure, unit kJ/mol of atoms: arrangement one 5.1; arrangement two 0.0.